The following is a DFT calculation (PBE) of crystalline LaTbSmCd at its relaxed geometry. Values from VASP.

Quantum ESPRESSO input file:
```
&SYSTEM
  ibrav = 0, nat = 4, ntyp = 4
/
ATOMIC_SPECIES
La 138.91 La.upf
Tb 158.93 Tb.upf
Sm 150.36 Sm.upf
Cd 112.41 Cd.upf
ATOMIC_POSITIONS crystal
La 0.0000 0.0000 0.0000
Tb 0.2500 0.2500 0.2500
Sm 0.5000 0.5000 0.5000
Cd 0.7500 0.7500 0.7500
CELL_PARAMETERS angstrom
0.0000 3.9523 3.9523
3.9523 0.0000 3.9523
3.9523 3.9523 0.0000
```

symmetry = No. 216
total moment = 0.00 μB/f.u.
calculated formation energy = -0.0420 eV/atom